# SrPm6Y12 (PBE-GGA, relaxed)
data_SrPm6Y12
_cell_length_a 15.7967
_cell_length_b 15.7967
_cell_length_c 8.8786
_cell_angle_alpha 90.00
_cell_angle_beta 90.00
_cell_angle_gamma 120.00
_space_group_name_H-M_alt 'R -3'
_space_group_IT_number 148
_space_group_name_Hall '-R 3'
loop_
_atom_site_label
_atom_site_type_symbol
_atom_site_fract_x
_atom_site_fract_y
_atom_site_fract_z
Sr1 Sr 0.0000 0.0000 0.0000
Pm1 Pm 0.0344 0.7551 0.3295
Y1 Y 0.0175 0.8746 0.6595
Y2 Y 0.0649 0.5053 0.6677
# * DFT formation energy: 0.049 eV per atom
# * total moment: 0.00 μB per formula unit
# * calculated total energy: -0.2066 hartree per atom